# AcMg2Ag2Hg2

A relaxed structure of AcMg2Ag2Hg2 (PBE, Alexandria via LeMat-Bulk).

The space group is R-3m (No. 166, hexagonal axes) and the conventional cell measures 4.8691, 4.8691 and 25.5201 Å, with angles of 90.00, 90.00 and 120.00 degrees. The inequivalent atoms are Ac at (0.0000, 0.0000, 0.0000), Mg at (0.0000, 0.0000, 0.1355), Ag at (0.0000, 0.0000, 0.2452) and Hg at (0.0000, 0.0000, 0.4147).

As for the electronic total energy: -2.191 eV/atom.

=====

# NaCd5Au4

A relaxed structure of NaCd5Au4 (PBE, Alexandria via LeMat-Bulk).

The space group is Pmmm (No. 47) and the conventional cell measures 3.1555, 3.9036 and 16.4575 Å, with angles of 90.00, 90.00 and 90.00 degrees. The inequivalent atoms are Na at (0.0000, 0.0000, 0.0000), Cd at (0.5000, 0.5000, 0.1139), Cd at (0.5000, 0.5000, 0.3057), Cd at (0.5000, 0.5000, 0.5000), Au at (0.0000, 0.0000, 0.2061) and Au at (0.0000, 0.0000, 0.4025).

As for the electronic total energy: -2.056 eV/atom.

=====

# CaMgAl2Fe

A relaxed structure of CaMgAl2Fe (PBE, Alexandria via LeMat-Bulk).

The space group is P4/mmm (No. 123) and the conventional cell measures 4.5953, 4.5953 and 4.8198 Å, with angles of 90.00, 90.00 and 90.00 degrees. The inequivalent atoms are Ca at (0.0000, 0.0000, 0.0000), Mg at (0.5000, 0.5000, 0.0000), Al at (0.0000, 0.5000, 0.5000) and Fe at (0.5000, 0.5000, 0.5000).

As for the electronic total energy: -4.028 eV/atom.